(1)
MgSe2Cl, relaxed, DFT GGA-PBE; density = 3.1 g/cm³; relative energy among the computed polymorphs = 369 meV per atom; space group = Cmm2 (35); formation energy without anion corrections = -0.438 eV per atom; final energy = -3.041 eV per atom; total moment = 0.000 μB per atom
1.0
3.4541 0.0000 0.0000
0.0000 7.2942 0.0000
0.0000 0.0000 9.2634
Mg Se Cl
2 4 2
Direct
0.0000 0.0000 0.0000
0.5000 0.5000 0.0000
0.0000 0.0000 0.4213
0.0000 0.5000 0.2186
0.5000 0.0000 0.2186
0.5000 0.5000 0.4213
0.0000 0.5000 0.8265
0.5000 0.0000 0.8265



(2)
MgSeCl2, relaxed, DFT GGA-PBE; density = 3.2 g/cm³; relative energy among the computed polymorphs = 399 meV per atom; space group = C2/m (12); formation energy without anion corrections = -0.580 eV per atom; final energy = -2.773 eV per atom; total moment = 0.000 μB per atom
1.0
6.1791 0.0000 0.0000
0.0000 8.1834 0.0000
-3.0764 0.0000 3.5834
Mg Se Cl
2 2 4
Direct
0.0000 0.0000 0.0000
0.5000 0.5000 0.0000
0.0000 0.5000 0.0000
0.5000 0.0000 0.0000
0.2500 0.2500 0.5000
0.2500 0.7500 0.5000
0.7500 0.2500 0.5000
0.7500 0.7500 0.5000